Arrangement 1

Here is a relaxed GeBS2Cl crystal from Alexandria. Energies are from PBE-GGA.

Values from the calculation:
ρ: 2.76 Mg/m³
crystal system: tetragonal

Lattice parameters (Å, degrees): 4.6873 4.6873 5.0051 90.00 90.00 90.00
Last column: nearest neighbours and their distance in Å.
Positions (direct):
Ge (0.0000, 0.0000, 0.0000)  4 S 2.34, 2 Cl 2.50
B (0.5000, 0.5000, 0.5000)  4 Cl 3.31, 8 S 3.43
S (0.0000, 0.5000, 0.0000)  2 Ge 2.34
S (0.5000, 0.0000, 0.0000)  2 Ge 2.34
Cl (0.0000, 0.0000, 0.5000)  2 Ge 2.50

Arrangement 2

Here is a relaxed GeBS2Cl crystal from Alexandria. Energies are from PBE-GGA.

Values from the calculation:
ρ: 3.74 Mg/m³
crystal system: tetragonal

Lattice parameters (Å, degrees): 4.2395 4.2395 4.5202 90.00 90.00 90.00
Last column: nearest neighbours and their distance in Å.
Positions (direct):
Ge (0.0000, 0.0000, 0.0000)  4 Cl 3.00, 8 S 3.10
B (0.5000, 0.5000, 0.5000)  4 S 2.12, 2 Cl 2.26
S (0.0000, 0.5000, 0.5000)  2 B 2.12
S (0.5000, 0.0000, 0.5000)  2 B 2.12
Cl (0.5000, 0.5000, 0.0000)  2 B 2.26

arrangement 2 ends up most stable, edging out the next structure by 0.546 eV/atom.

Arrangement 1

Here is a relaxed GeBSbCl2 crystal from Alexandria. Energies are from PBE-GGA.

Values from the calculation:
ρ: 3.59 Mg/m³
crystal system: tetragonal

Lattice parameters (Å, degrees): 5.3711 5.3711 4.4287 90.00 90.00 90.00
Last column: nearest neighbours and their distance in Å.
Positions (direct):
Ge (0.0000, 0.0000, 0.0000)  8 Cl 3.48, 4 B 3.80
B (0.5000, 0.5000, 0.0000)  2 Sb 2.21
Sb (0.5000, 0.5000, 0.5000)  2 B 2.21
Cl (0.0000, 0.5000, 0.5000)  2 Sb 2.69
Cl (0.5000, 0.0000, 0.5000)  2 Sb 2.69

Arrangement 2

Here is a relaxed GeBSbCl2 crystal from Alexandria. Energies are from PBE-GGA.

Values from the calculation:
ρ: 2.95 Mg/m³
crystal system: tetragonal

Lattice parameters (Å, degrees): 5.1576 5.1576 5.8427 90.00 90.00 90.00
Last column: nearest neighbours and their distance in Å.
Positions (direct):
Ge (0.0000, 0.0000, 0.0000)  2 Sb 2.92
B (0.5000, 0.5000, 0.0000)  4 Ge 3.65, 8 Cl 3.90
Sb (0.0000, 0.0000, 0.5000)  4 Cl 2.58
Cl (0.0000, 0.5000, 0.5000)  2 Sb 2.58
Cl (0.5000, 0.0000, 0.5000)  2 Sb 2.58

arrangement 1 ends up most stable, edging out the next structure by 0.148 eV/atom.

Arrangement 1

Here is a relaxed B2H8Cl crystal from Alexandria. Energies are from PBE-GGA.

Values from the calculation:
ρ: 0.99 Mg/m³
crystal system: monoclinic

Lattice parameters (Å, degrees): 6.9536 6.9536 2.5885 90.66 90.66 119.14
Last column: nearest neighbours and their distance in Å.
Positions (direct):
B (0.1650, 0.8350, 0.0000)  2 H 1.20
B (0.8350, 0.1650, 0.0000)  2 H 1.20
H (0.0318, 0.2700, 0.0093)  1 B 1.20
H (0.2251, 0.7749, 0.5000)  2 B 1.48
H (0.2700, 0.0318, 0.0093)  1 B 1.20
H (0.3698, 0.3698, 0.9919)  2 Cl 1.59
H (0.6302, 0.6302, 0.0081)  2 Cl 1.59
H (0.7300, 0.9682, 0.9907)  1 B 1.20
H (0.7749, 0.2251, 0.5000)  2 B 1.48
H (0.9682, 0.7300, 0.9907)  1 B 1.20
Cl (0.5000, 0.5000, 0.5000)  4 H 1.59

Arrangement 2

Here is a relaxed B2H8Cl crystal from Alexandria. Energies are from PBE-GGA.

Values from the calculation:
ρ: 0.84 Mg/m³
crystal system: monoclinic

Lattice parameters (Å, degrees): 5.7006 5.7006 4.7121 94.92 94.92 57.53
Last column: nearest neighbours and their distance in Å.
Positions (direct):
B (0.1626, 0.1626, 0.2349)  4 H 1.19-1.27
B (0.8374, 0.8374, 0.7651)  4 H 1.19-1.27
H (0.0518, 0.6745, 0.9050)  1 H 1.20, 1 B 1.24
H (0.1376, 0.1376, 0.9646)  2 H 1.20, 1 B 1.27
H (0.2743, 0.2743, 0.3502)  1 B 1.19
H (0.3255, 0.9482, 0.0950)  1 H 1.20, 1 B 1.24
H (0.6745, 0.0518, 0.9050)  1 H 1.20, 1 B 1.24
H (0.7257, 0.7257, 0.6498)  1 B 1.19
H (0.8624, 0.8624, 0.0354)  2 H 1.20, 1 B 1.27
H (0.9482, 0.3255, 0.0950)  1 H 1.20, 1 B 1.24
Cl (0.0000, 0.0000, 0.5000)  2 B 2.14

arrangement 2 ends up most stable, edging out the next structure by 0.131 eV/atom.

Arrangement 1

Here is a relaxed B2H6Cl crystal from Alexandria. Energies are from PBE-GGA.

Values from the calculation:
ρ: 1.26 Mg/m³
crystal system: monoclinic

Lattice parameters (Å, degrees): 5.2800 5.2800 5.1843 100.14 100.14 35.97
Last column: nearest neighbours and their distance in Å.
Positions (direct):
B (0.2167, 0.2167, 0.4989)  3 H 1.22-1.34
B (0.7833, 0.7833, 0.5011)  3 H 1.22-1.34
H (0.0100, 0.7244, 0.7125)  1 H 0.93
H (0.1649, 0.1649, 0.6949)  1 B 1.22
H (0.2756, 0.9900, 0.2875)  1 H 0.93
H (0.7244, 0.0100, 0.7125)  1 H 0.93
H (0.8351, 0.8351, 0.3051)  1 B 1.22
H (0.9900, 0.2756, 0.2875)  1 H 0.93
Cl (0.5000, 0.5000, 0.0000)  4 H 2.15

Arrangement 2

Here is a relaxed B2H6Cl crystal from Alexandria. Energies are from PBE-GGA.

Values from the calculation:
ρ: 1.25 Mg/m³
crystal system: triclinic

Lattice parameters (Å, degrees): 3.2277 4.7039 6.0085 110.70 96.96 95.10
Last column: nearest neighbours and their distance in Å.
Positions (direct):
B (0.2489, 0.0590, 0.4573)  1 H 1.19
B (0.7511, 0.9410, 0.5427)  1 H 1.19
H (0.0633, 0.1761, 0.6663)  2 B 1.35-1.41
H (0.2502, 0.2433, 0.3634)  1 B 1.19
H (0.4313, 0.8146, 0.3225)  2 B 1.38-1.47
H (0.5687, 0.1854, 0.6775)  2 B 1.38-1.47
H (0.7498, 0.7567, 0.6366)  1 B 1.19
H (0.9367, 0.8239, 0.3337)  2 B 1.35-1.41
Cl (0.5000, 0.5000, 0.0000)  4 H 2.03-2.26

arrangement 2 ends up most stable, edging out the next structure by 0.067 eV/atom.

Arrangement 1

Here is a relaxed BH3Cl crystal from Alexandria. Energies are from PBE-GGA.

Values from the calculation:
ρ: 2.22 Mg/m³
crystal system: cubic

Lattice parameters (Å, degrees): 3.3277 3.3277 3.3277 90.00 90.00 90.00
Last column: nearest neighbours and their distance in Å.
Positions (direct):
B (0.0000, 0.0000, 0.0000)  6 H 1.66
H (0.0000, 0.0000, 0.5000)  2 B 1.66
H (0.0000, 0.5000, 0.0000)  2 B 1.66
H (0.5000, 0.0000, 0.0000)  2 B 1.66
Cl (0.5000, 0.5000, 0.5000)  12 H 2.35

Arrangement 2

Here is a relaxed BH3Cl crystal from Alexandria. Energies are from PBE-GGA.

Values from the calculation:
ρ: 1.87 Mg/m³
crystal system: cubic

Lattice parameters (Å, degrees): 3.5247 3.5247 3.5247 90.00 90.00 90.00
Last column: nearest neighbours and their distance in Å.
Positions (direct):
B (0.0000, 0.0000, 0.0000)  12 H 2.49
H (0.0000, 0.5000, 0.5000)  2 Cl 1.76
H (0.5000, 0.0000, 0.5000)  2 Cl 1.76
H (0.5000, 0.5000, 0.0000)  2 Cl 1.76
Cl (0.5000, 0.5000, 0.5000)  6 H 1.76

arrangement 1 ends up most stable, edging out the next structure by 0.671 eV/atom.

Arrangement 1

Here is a relaxed BH3Cl crystal from Alexandria. Energies are from PBE-GGA.

Values from the calculation:
ρ: 1.35 Mg/m³
crystal system: monoclinic

Lattice parameters (Å, degrees): 2.8528 7.7940 5.5957 90.00 102.94 90.00
Last column: nearest neighbours and their distance in Å.
Positions (direct):
B (0.1522, 0.2500, 0.2726)  2 H 1.21
B (0.8478, 0.7500, 0.7274)  2 H 1.21
H (0.1101, 0.1105, 0.1763)  1 B 1.21
H (0.1101, 0.3895, 0.1763)  1 B 1.21
H (0.3775, 0.7500, 0.7951)  2 B 1.47
H (0.6225, 0.2500, 0.2049)  2 B 1.47
H (0.8899, 0.6105, 0.8237)  1 B 1.21
H (0.8899, 0.8895, 0.8237)  1 B 1.21
Cl (0.2995, 0.2500, 0.6086)  1 B 1.83
Cl (0.7005, 0.7500, 0.3914)  1 B 1.83

Arrangement 2

Here is a relaxed BH3Cl crystal from Alexandria. Energies are from PBE-GGA.

Values from the calculation:
ρ: 1.08 Mg/m³
crystal system: triclinic

Lattice parameters (Å, degrees): 4.6913 5.2651 6.4773 95.92 94.92 106.06
Last column: nearest neighbours and their distance in Å.
Positions (direct):
B (0.1410, 0.1528, 0.0376)  3 H 1.19-1.33
B (0.8590, 0.8472, 0.9624)  3 H 1.19-1.33
H (0.1108, 0.9108, 0.0931)  2 B 1.33
H (0.3485, 0.2096, 0.9395)  1 B 1.19
H (0.4961, 0.9278, 0.5000)  1 H 0.75
H (0.5039, 0.0722, 0.5000)  1 H 0.75
H (0.6515, 0.7904, 0.0605)  1 B 1.19
H (0.8892, 0.0892, 0.9069)  2 B 1.33
Cl (0.1172, 0.3744, 0.2571)  1 B 1.78
Cl (0.8828, 0.6256, 0.7429)  1 B 1.78

arrangement 2 ends up most stable, edging out the next structure by 0.308 eV/atom.

Arrangement 1

Here is a relaxed BH4Cl crystal from Alexandria. Energies are from PBE-GGA.

Values from the calculation:
ρ: 1.05 Mg/m³
crystal system: orthorhombic

Lattice parameters (Å, degrees): 9.2877 4.3906 4.3906 117.19 90.00 90.00
Last column: nearest neighbours and their distance in Å.
Positions (direct):
B (0.2500, 0.0503, 0.9497)  2 H 1.18
B (0.7500, 0.9497, 0.0503)  2 H 1.18
H (0.2038, 0.7520, 0.9555)  1 H 0.86
H (0.2500, 0.0272, 0.6708)  1 B 1.18
H (0.2500, 0.2842, 0.2280)  1 B 1.18
H (0.2962, 0.7520, 0.9555)  1 H 0.86
H (0.7038, 0.9555, 0.7520)  1 H 0.86
H (0.7500, 0.2280, 0.2842)  1 B 1.18
H (0.7500, 0.6708, 0.0272)  1 B 1.18
H (0.7962, 0.9555, 0.7520)  1 H 0.86
Cl (0.0000, 0.9065, 0.9065)  2 H 2.05
Cl (0.5000, 0.9065, 0.9065)  2 H 2.05

Arrangement 2

Here is a relaxed BH4Cl crystal from Alexandria. Energies are from PBE-GGA.

Values from the calculation:
ρ: 1.51 Mg/m³
crystal system: monoclinic

Lattice parameters (Å, degrees): 2.8406 2.8406 6.8707 90.27 90.27 90.00
Last column: nearest neighbours and their distance in Å.
Positions (direct):
B (0.0000, 0.0000, 0.0000)  2 H 1.21
H (0.0000, 0.5000, 0.0000)  2 B 1.42
H (0.0017, 0.0017, 0.1759)  1 B 1.21
H (0.5000, 0.0000, 0.0000)  2 B 1.42
H (0.9983, 0.9983, 0.8241)  1 B 1.21
Cl (0.5000, 0.5000, 0.5000)  4 Cl 2.84, 8 H 2.98-3.01

arrangement 1 ends up most stable, edging out the next structure by 0.308 eV/atom.

Arrangement 1

Here is a relaxed BH2Cl crystal from Alexandria. Energies are from PBE-GGA.

Values from the calculation:
ρ: 2.25 Mg/m³
crystal system: cubic

Lattice parameters (Å, degrees): 4.6531 4.6531 4.6531 60.00 60.00 60.00
Last column: nearest neighbours and their distance in Å.
Positions (direct):
B (0.1250, 0.1250, 0.1250)  4 H 1.42
B (0.8750, 0.8750, 0.8750)  4 H 1.42
H (0.0000, 0.0000, 0.0000)  2 B 1.42
H (0.0000, 0.0000, 0.5000)  2 B 1.42
H (0.0000, 0.5000, 0.0000)  2 B 1.42
H (0.5000, 0.0000, 0.0000)  2 B 1.42
Cl (0.3750, 0.3750, 0.3750)  12 H 2.73, 4 B 2.85, 4 Cl 2.85
Cl (0.6250, 0.6250, 0.6250)  12 H 2.73, 4 Cl 2.85, 4 B 2.85

Arrangement 2

Here is a relaxed BH2Cl crystal from Alexandria. Energies are from PBE-GGA.

Values from the calculation:
ρ: 2.21 Mg/m³
crystal system: cubic

Lattice parameters (Å, degrees): 3.7184 3.7184 3.7184 60.00 60.00 60.00
Last column: nearest neighbours and their distance in Å.
Positions (direct):
B (0.0000, 0.0000, 0.0000)  8 H 2.28
H (0.2500, 0.2500, 0.2500)  4 Cl 2.28, 4 B 2.28
H (0.7500, 0.7500, 0.7500)  4 Cl 2.28, 4 B 2.28
Cl (0.5000, 0.5000, 0.5000)  8 H 2.28

Arrangement 3

Here is a relaxed BH2Cl crystal from Alexandria. Energies are from PBE-GGA.

Values from the calculation:
ρ: 1.30 Mg/m³
crystal system: orthorhombic

Lattice parameters (Å, degrees): 5.8062 9.4288 4.5200 90.00 90.00 90.00
Last column: nearest neighbours and their distance in Å.
Positions (direct):
B (0.1836, 0.0337, 0.0000)  2 H 1.20
B (0.3164, 0.5337, 0.5000)  2 H 1.20
B (0.6836, 0.4663, 0.0000)  2 H 1.20
B (0.8164, 0.9663, 0.5000)  2 H 1.20
H (0.1778, 0.4723, 0.3516)  1 B 1.20
H (0.2418, 0.1319, 0.1503)  1 B 1.20
H (0.2582, 0.6319, 0.6503)  1 B 1.20
H (0.3222, 0.9723, 0.8516)  1 B 1.20
H (0.6778, 0.0277, 0.3516)  1 B 1.20
H (0.7418, 0.3681, 0.1503)  1 B 1.20
H (0.7582, 0.8681, 0.6503)  1 B 1.20
H (0.8222, 0.5277, 0.8516)  1 B 1.20
Cl (0.0525, 0.8894, 0.2477)  2 B 1.92
Cl (0.4475, 0.3894, 0.7477)  2 B 1.92
Cl (0.5525, 0.6106, 0.2477)  2 B 1.92
Cl (0.9475, 0.1106, 0.7477)  2 B 1.92

arrangement 3 ends up most stable, edging out the next structure by 0.921 eV/atom.

Arrangement 1

Here is a relaxed BP2HCl crystal from Alexandria. Energies are from PBE-GGA.

Values from the calculation:
ρ: 2.14 Mg/m³
crystal system: tetragonal

Lattice parameters (Å, degrees): 3.4773 3.4773 7.0174 90.00 90.00 90.00
Last column: nearest neighbours and their distance in Å.
Positions (direct):
B (0.0000, 0.0000, 0.0000)  4 Cl 2.46
P (0.0000, 0.5000, 0.5000)  2 H 1.74
P (0.5000, 0.0000, 0.5000)  2 H 1.74
H (0.5000, 0.5000, 0.5000)  4 P 1.74
Cl (0.5000, 0.5000, 0.0000)  4 B 2.46

Arrangement 2

Here is a relaxed BP2HCl crystal from Alexandria. Energies are from PBE-GGA.

Values from the calculation:
ρ: 2.30 Mg/m³
crystal system: tetragonal

Lattice parameters (Å, degrees): 3.9607 3.9607 5.0206 90.00 90.00 90.00
Last column: nearest neighbours and their distance in Å.
Positions (direct):
B (0.0000, 0.0000, 0.0000)  4 P 1.98
P (0.0000, 0.5000, 0.0000)  2 B 1.98
P (0.5000, 0.0000, 0.0000)  2 B 1.98
H (0.5000, 0.5000, 0.5000)  4 Cl 2.80
Cl (0.0000, 0.0000, 0.5000)  2 B 2.51, 4 H 2.80

arrangement 2 ends up most stable, edging out the next structure by 0.013 eV/atom.

Arrangement 1

Here is a relaxed BPHCl2 crystal from Alexandria. Energies are from PBE-GGA.

Values from the calculation:
ρ: 2.24 Mg/m³
crystal system: tetragonal

Lattice parameters (Å, degrees): 4.6997 4.6997 3.8177 90.00 90.00 90.00
Last column: nearest neighbours and their distance in Å.
Positions (direct):
B (0.0000, 0.0000, 0.0000)  2 P 1.91
P (0.0000, 0.0000, 0.5000)  2 B 1.91
H (0.5000, 0.5000, 0.5000)  8 Cl 3.03, 4 P 3.32
Cl (0.0000, 0.5000, 0.0000)  2 B 2.35
Cl (0.5000, 0.0000, 0.0000)  2 B 2.35

Arrangement 2

Here is a relaxed BPHCl2 crystal from Alexandria. Energies are from PBE-GGA.

Values from the calculation:
ρ: 2.41 Mg/m³
crystal system: tetragonal

Lattice parameters (Å, degrees): 4.9153 4.9153 3.2447 90.00 90.00 90.00
Last column: nearest neighbours and their distance in Å.
Positions (direct):
B (0.0000, 0.0000, 0.0000)  8 Cl 2.94, 2 B 3.24
P (0.5000, 0.5000, 0.0000)  2 H 1.62
H (0.5000, 0.5000, 0.5000)  2 P 1.62
Cl (0.0000, 0.5000, 0.5000)  2 H 2.46
Cl (0.5000, 0.0000, 0.5000)  2 H 2.46

arrangement 1 ends up most stable, edging out the next structure by 0.202 eV/atom.

Arrangement 1

Here is a relaxed HfBS2Cl crystal from Alexandria. Energies are from PBE-GGA.

Values from the calculation:
ρ: 3.96 Mg/m³
crystal system: tetragonal

Lattice parameters (Å, degrees): 4.9521 4.9521 4.9382 90.00 90.00 90.00
Last column: nearest neighbours and their distance in Å.
Positions (direct):
Hf (0.0000, 0.0000, 0.0000)  2 Cl 2.47, 4 S 2.48
B (0.5000, 0.5000, 0.5000)  8 S 3.50, 4 Cl 3.50
S (0.0000, 0.5000, 0.0000)  2 Hf 2.48
S (0.5000, 0.0000, 0.0000)  2 Hf 2.48
Cl (0.0000, 0.0000, 0.5000)  2 Hf 2.47

Arrangement 2

Here is a relaxed HfBS2Cl crystal from Alexandria. Energies are from PBE-GGA.

Values from the calculation:
ρ: 6.35 Mg/m³
crystal system: tetragonal

Lattice parameters (Å, degrees): 4.3041 4.3041 4.0809 90.00 90.00 90.00
Last column: nearest neighbours and their distance in Å.
Positions (direct):
Hf (0.0000, 0.0000, 0.0000)  8 S 2.97, 4 Cl 3.04
B (0.5000, 0.5000, 0.5000)  2 Cl 2.04, 4 S 2.15
S (0.0000, 0.5000, 0.5000)  2 B 2.15
S (0.5000, 0.0000, 0.5000)  2 B 2.15
Cl (0.5000, 0.5000, 0.0000)  2 B 2.04

arrangement 1 ends up most stable, edging out the next structure by 0.057 eV/atom.